The following is a meta-GGA SCAN calculation of a crystal of HfMn2NiSn relaxed with PBEsol, from Alexandria.

The total energy comes out at -145.1 eV for the cell shown. Its density of states at the Fermi level is 4.52 states/eV/f.u. Its energy of formation from the pure elements is 119.89 kJ per mole of atoms.

The space group is P4/mmm (No. 123) and the conventional cell measures 4.7534, 4.7534 and 5.2706 Å, with angles of 90.00, 90.00 and 90.00 degrees. The inequivalent atoms are Hf at (0.0000, 0.0000, 0.0000), Mn at (0.0000, 0.5000, 0.5000), Ni at (0.5000, 0.5000, 0.0000) and Sn at (0.0000, 0.0000, 0.5000).